w) ## YAg2Cl (GGA-PBE)

Data for a relaxed structure of YAg2Cl.

Results
symmetry = P4mm, No. 99
N(E_F) = 1.700 states/eV per cell
crystal system = tetragonal
total moment = 0.0 μB/cell

abc: 3.3805 3.3805 8.5771
angles: 90.00 90.00 90.00
With the nearest neighbours (Å) after each atom.
Positions (direct):
Y1 0.5000 0.5000 0.7592  4 Cl 2.88, 4 Ag 3.12
Cl1 0.0000 0.0000 0.5715  4 Y 2.88
Ag1 0.5000 0.5000 0.1758  4 Ag 2.86
Ag2 0.0000 0.0000 0.9935  4 Ag 2.86, 4 Y 3.12

x) ## YAg2Cl (GGA-PBE)

Data for a relaxed structure of YAg2Cl.

Results
symmetry = Immm, No. 71
N(E_F) = 2.135 states/eV per cell
crystal system = orthorhombic
total moment = 0.0 μB/cell

abc: 6.4374 6.4374 4.6458
angles: 68.84 68.84 29.50
With the nearest neighbours (Å) after each atom.
Positions (direct):
Ag1 0.9852 0.9852 0.0148  4 Ag 2.86, 2 Y 3.17
Ag2 0.5148 0.5148 0.4852  4 Ag 2.86, 2 Y 3.17
Cl1 0.7500 0.7500 0.7500  4 Y 2.84
Y1 0.2500 0.2500 0.2500  4 Cl 2.84, 4 Ag 3.17

y) ## YAg2Cl (GGA-PBE)

Data for a relaxed structure of YAg2Cl.

Results
symmetry = Cmmm, No. 65
N(E_F) = 1.018 states/eV per cell
crystal system = orthorhombic
total moment = 0.0 μB/cell

abc: 5.4436 5.4436 3.7828
angles: 90.00 90.00 120.89
With the nearest neighbours (Å) after each atom.
Positions (direct):
Cl1 0.5000 0.0000 0.5000  2 Y 2.69
Ag1 0.5000 0.5000 0.0000  2 Ag 2.69
Ag2 0.0000 0.0000 0.0000  2 Ag 2.69
Y1 0.0000 0.5000 0.5000  2 Cl 2.69

z) ## YAg2Cl (GGA-PBE)

Data for a relaxed structure of YAg2Cl.

Results
symmetry = P4/mmm, No. 123
N(E_F) = 0.868 states/eV per cell
crystal system = tetragonal
total moment = 0.0 μB/cell

abc: 3.4799 3.4799 7.4169
angles: 90.00 90.00 90.01
With the nearest neighbours (Å) after each atom.
Positions (direct):
Cl1 0.5000 0.5000 0.2500  8 Ag 3.04
Ag1 0.0000 0.0000 0.4906  4 Cl 3.04, 4 Y 3.12
Ag2 0.0000 0.0000 0.0094  4 Cl 3.04, 4 Y 3.12
Y1 0.5000 0.5000 0.7500  8 Ag 3.12, 4 Y 3.48

w) is the most stable structure; the next one sits 35 meV per atom above it.

w) ## YAg2Cl (GGA-PBE)

Data for a relaxed structure of YAg2Cl.

Results
symmetry = Pmmm, No. 47
N(E_F) = 2.628 states/eV per cell
crystal system = orthorhombic
total moment = 0.0 μB/cell

abc: 3.3654 4.5077 5.7465
angles: 90.00 90.00 90.00
With the nearest neighbours (Å) after each atom.
Positions (direct):
Cl1 0.5000 0.0000 0.5000  4 Y 2.81
Ag1 0.5000 0.5000 0.0000  4 Ag 2.81
Ag2 0.0000 0.0000 0.0000  4 Ag 2.81
Y1 0.0000 0.5000 0.5000  4 Cl 2.81

x) ## YAg2Cl (GGA-PBE)

Data for a relaxed structure of YAg2Cl.

Results
symmetry = Cm, No. 8
N(E_F) = 2.190 states/eV per cell
crystal system = monoclinic
total moment = 0.0 μB/cell

abc: 5.2371 5.2371 6.0642
angles: 67.13 67.13 38.26
With the nearest neighbours (Å) after each atom.
Positions (direct):
Y1 0.2749 0.2749 0.3625  3 Cl 2.76-2.78, 2 Ag 3.09
Ag1 0.9658 0.9658 0.9201  3 Ag 2.78-2.84, 2 Y 3.09
Ag2 0.7109 0.7109 0.8327  3 Ag 2.78-2.84, 1 Cl 3.06
Cl1 0.5484 0.5484 0.3846  3 Y 2.76-2.78, 1 Ag 3.06

x) is the most stable structure; the next one sits 18 meV per atom above it.

w) ## YAg3Cl (GGA-PBE)

Data for a relaxed structure of YAg3Cl.

Results
symmetry = Pm-3m, No. 221
N(E_F) = 5.212 states/eV per cell
crystal system = cubic
total moment = 0.0 μB/cell

abc: 5.0451 5.0451 5.0451
angles: 90.00 90.00 90.00
With the nearest neighbours (Å) after each atom.
Positions (direct):
Cl1 0.0000 0.0000 0.0000  6 Ag 2.52
Y1 0.5000 0.5000 0.5000  12 Ag 3.57
Ag1 0.5000 0.0000 0.0000  2 Cl 2.52
Ag2 0.0000 0.0000 0.5000  2 Cl 2.52
Ag3 0.0000 0.5000 0.0000  2 Cl 2.52

x) ## YAg3Cl (GGA-PBE)

Data for a relaxed structure of YAg3Cl.

Results
symmetry = Pm-3m, No. 221
N(E_F) = 8.664 states/eV per cell
crystal system = cubic
total moment = 0.0 μB/cell

abc: 5.6422 5.6422 5.6422
angles: 90.00 90.00 90.00
With the nearest neighbours (Å) after each atom.
Positions (direct):
Cl1 0.5000 0.5000 0.5000  12 Ag 3.99
Y1 0.0000 0.0000 0.0000  6 Ag 2.82
Ag1 0.0000 0.0000 0.5000  2 Y 2.82
Ag2 0.5000 0.0000 0.0000  2 Y 2.82
Ag3 0.0000 0.5000 0.0000  2 Y 2.82

w) is the most stable structure; the next one sits 349 meV per atom above it.

w) ## ZnAg2Cl (GGA-PBE)

Data for a relaxed structure of ZnAg2Cl.

Results
symmetry = P4/mmm, No. 123
N(E_F) = 1.239 states/eV per cell
crystal system = tetragonal
total moment = 0.0 μB/cell

abc: 3.3959 3.3962 6.5513
angles: 90.00 90.00 90.00
With the nearest neighbours (Å) after each atom.
Positions (direct):
Ag1 0.0000 0.0000 0.9639  4 Zn 2.78, 1 Ag 2.80, 4 Cl 3.05
Ag2 0.0000 0.0000 0.5361  4 Zn 2.78, 1 Ag 2.80, 4 Cl 3.05
Zn1 0.5000 0.5000 0.7500  8 Ag 2.78
Cl1 0.5000 0.5000 0.2500  8 Ag 3.05, 2 Zn 3.28, 4 Cl 3.40

x) ## ZnAg2Cl (GGA-PBE)

Data for a relaxed structure of ZnAg2Cl.

Results
symmetry = Fm-3m, No. 225
N(E_F) = 1.137 states/eV per cell
crystal system = cubic
total moment = 0.0 μB/cell

abc: 4.7994 4.7994 4.7994
angles: 60.00 60.00 60.00
With the nearest neighbours (Å) after each atom.
Positions (direct):
Ag1 0.2500 0.2500 0.2500  4 Zn 2.94, 4 Cl 2.94
Ag2 0.7500 0.7500 0.7500  4 Zn 2.94, 4 Cl 2.94
Cl1 0.0000 0.0000 0.0000  8 Ag 2.94
Zn1 0.5000 0.5000 0.5000  8 Ag 2.94

w) is the most stable structure; the next one sits 211 meV per atom above it.